# AcNd5Tm4

A relaxed structure of AcNd5Tm4 (GGA-PBE, Alexandria via LeMat-Bulk).

Cell: 3.6647 3.6647 25.2663 Å, 90.00 90.00 90.00°
Fractional coordinates of all 10 atoms:
Ac  0.0000  0.0000  0.0000
Nd  0.5000  0.5000  0.1113
Nd  0.5000  0.5000  0.3063
Nd  0.5000  0.5000  0.5000
Nd  0.5000  0.5000  0.6937
Nd  0.5000  0.5000  0.8887
Tm  0.0000  0.0000  0.2092
Tm  0.0000  0.0000  0.4032
Tm  0.0000  0.0000  0.5968
Tm  0.0000  0.0000  0.7908

Computed properties:
ΔE_f: 0.3 eV/f.u.